(1)
Computed, not measured: a geometry-optimized PmBeAlAg structure at the GGA-PBE level of DFT.

Structure (POSCAR):
```
PmBeAlAg
1.0
0.000 3.356 3.356
3.356 0.000 3.356
3.356 3.356 0.000
Pm Be Al Ag
1 1 1 1
Cartesian
0.000 0.000 0.000 Pm
5.035 5.035 5.035 Be
3.356 3.356 3.356 Al
1.678 1.678 1.678 Ag
```

Computed properties:
crystal system	cubic
ΔE_f	-0.093	eV per atom
mass density	6.34	Mg/m³
N(E_F)	0.436	states/eV per atom



(2)
Computed, not measured: a geometry-optimized MgScAgIr structure at the GGA-PBE level of DFT.

Structure (POSCAR):
```
MgScAgIr
1.0
0.000 3.268 3.268
3.268 0.000 3.268
3.268 3.268 0.000
Mg Sc Ag Ir
1 1 1 1
Cartesian
0.000 0.000 0.000 Mg
3.268 3.268 3.268 Sc
4.902 4.902 4.902 Ag
1.634 1.634 1.634 Ir
```

Computed properties:
crystal system	cubic
ΔE_f	-0.501	eV per atom
mass density	8.79	Mg/m³
N(E_F)	0.586	states/eV per atom



(3)
Computed, not measured: a geometry-optimized NaSnO2 structure at the GGA-PBE level of DFT.

Structure (POSCAR):
```
NaSnO2
1.0
2.974 0.000 0.000
0.000 2.974 0.000
0.000 0.000 6.013
Na Sn O
1 1 2
Cartesian
0.000 0.000 0.000 Na
0.000 0.000 3.007 Sn
1.487 1.487 1.706 O
1.487 1.487 4.307 O
```

Computed properties:
crystal system	tetragonal
mass density	5.42	Mg/m³
N(E_F)	0.344	states/eV per atom
formation energy without anion corrections	-356	kJ/mol of formula units



(4)
Computed, not measured: a geometry-optimized K3AsO4 structure at the GGA-PBE level of DFT.

Structure (POSCAR):
```
K3AsO4
1.0
7.892 0.000 0.000
0.000 6.835 0.000
0.000 0.000 6.251
K As O
6 2 8
Cartesian
0.000 0.953 0.000 K
1.910 2.188 3.104 K
2.036 4.647 6.230 K
3.946 5.881 3.126 K
5.856 4.647 6.230 K
5.982 2.188 3.104 K
0.000 5.575 3.044 As
3.946 1.259 6.170 As
0.000 0.390 3.582 O
0.000 5.522 1.317 O
1.427 4.772 3.621 O
2.519 2.063 0.495 O
3.946 1.313 4.443 O
3.946 6.445 0.457 O
5.373 2.063 0.495 O
6.465 4.772 3.621 O
```

Computed properties:
crystal system	orthorhombic
energy above the most stable polymorph in this dataset	14.2	meV/atom
mass density	2.52	Mg/m³
N(E_F)	0.000	states/eV per atom
formation energy without anion corrections	-1303	kJ/mol of formula units